Entry one
NaSn2Au3 | PBE | relaxed

Computed properties:
Space group: Pmmn
DOS(E_F): 2.9 states/eV/cell
Size of the total moment: 0.0 μB per formula unit

a = 3.7561 Å, b = 4.8613 Å, c = 15.5178 Å
α = 90.00°, β = 90.00°, γ = 90.00°
Last column: nearest neighbours and their distance in Å.
Sites, in units of the cell vectors:
Au: 0.1393 0.5000 0.2907  4 Sn 2.76-3.06, 2 Au 2.93
Na: 0.6518 0.0000 0.0000  6 Au 3.05-3.34, 4 Sn 3.25
Au: 0.8607 0.0000 0.2093  4 Sn 2.76-3.06, 2 Au 2.93
Na: 0.3482 0.5000 0.5000  6 Au 3.05-3.34, 4 Sn 3.25
Au: 0.8394 0.0000 0.5000  4 Sn 2.86-2.87, 4 Na 3.05-3.09
Sn: 0.6621 0.5000 0.8606  6 Au 2.76-3.06
Au: 0.1606 0.5000 0.0000  4 Sn 2.86-2.87, 4 Na 3.05-3.09
Au: 0.1393 0.5000 0.7093  4 Sn 2.76-3.06, 2 Au 2.93
Au: 0.8607 0.0000 0.7907  4 Sn 2.76-3.06, 2 Au 2.93
Sn: 0.6621 0.5000 0.1394  6 Au 2.76-3.06
Sn: 0.3379 0.0000 0.6394  6 Au 2.76-3.06
Sn: 0.3379 0.0000 0.3606  6 Au 2.76-3.06

---

Entry two
NaSn2Au3 | PBE | relaxed

Computed properties:
Space group: C2/m
DOS(E_F): 3.8 states/eV/cell
Size of the total moment: 0.0 μB per formula unit

a = 4.6866 Å, b = 8.0120 Å, c = 9.4994 Å
α = 119.42°, β = 104.28°, γ = 90.00°
Last column: nearest neighbours and their distance in Å.
Sites, in units of the cell vectors:
Sn: 0.1553 0.5948 0.3105  7 Au 2.80-3.00
Au: 0.0243 0.7110 0.0486  4 Sn 2.72-2.99, 3 Au 2.89-3.03, 1 Na 3.03
Na: 0.8216 0.8867 0.6433  5 Au 3.03-3.30
Au: 0.6205 0.7333 0.2410  3 Sn 2.80-2.96, 2 Au 2.89
Sn: 0.4753 0.7968 0.9506  4 Au 2.72-2.96, 1 Sn 2.90
Au: 0.6958 0.4222 0.3917  4 Sn 2.72-3.00, 2 Au 2.92
Au: 0.9757 0.2890 0.9514  4 Sn 2.72-2.99, 3 Au 2.89-3.03, 1 Na 3.03
Au: 0.3042 0.5778 0.6083  4 Sn 2.72-3.00, 2 Au 2.92
Au: 0.3795 0.2667 0.7590  3 Sn 2.80-2.96, 2 Au 2.89
Na: 0.1784 0.1133 0.3567  5 Au 3.03-3.30
Sn: 0.5247 0.2032 0.0494  4 Au 2.72-2.96, 1 Sn 2.90
Sn: 0.8447 0.4052 0.6895  7 Au 2.80-3.00

---

The structure shown above that is most stable: entry two.